Computed, not measured: a relaxed structure of CoNiH2 at the PBE level of DFT.

Geometry as extended XYZ:
```
4
Lattice="0.000 2.404 2.404 2.404 0.000 2.404 2.404 2.404 0.000" Properties=species:S:1:pos:R:3 pbc="T T T"
Co 0.000 0.000 0.000
Ni 2.404 2.404 2.404
H 1.202 1.202 1.202
H 3.607 3.607 3.607
```

Summary:
Total DFT energy (no corrections) = -4.43 eV/atom
Volume = 27.8 Å³ per cell
Symmetry = No. 225


Computed, not measured: a relaxed structure of Co2NiH at the PBE level of DFT.

Geometry as extended XYZ:
```
4
Lattice="1.271 0.734 6.182 -1.271 0.734 6.182 0.000 -1.468 6.182" Properties=species:S:1:pos:R:3 pbc="T T T"
Co 0.000 0.000 0.000
Co 0.000 0.000 4.033
Ni 0.000 0.000 8.193
H 0.000 0.000 11.284
```

Summary:
Total DFT energy (no corrections) = -5.81 eV/atom
Volume = 34.6 Å³ per cell
Symmetry = No. 160
E above lowest polymorph = 0 meV/atom


Computed, not measured: a relaxed structure of Co5Ni2H2 at the PBE level of DFT.

Geometry as extended XYZ:
```
9
Lattice="3.985 -1.798 0.000 3.985 1.798 0.000 -0.816 0.000 5.592" Properties=species:S:1:pos:R:3 pbc="T T T"
Co 0.000 0.000 0.000
Co 0.769 0.000 2.417
Co 1.597 0.000 4.744
Co 5.556 0.000 0.848
Co 6.384 0.000 3.175
Ni 3.208 0.000 1.617
Ni 3.946 0.000 3.975
H 1.607 0.000 0.787
H 5.547 0.000 4.805
```

Summary:
Total DFT energy (no corrections) = -5.95 eV/atom
Volume = 80.1 Å³ per cell
Symmetry = No. 12


Computed, not measured: a relaxed structure of CoNi2H2 at the PBE level of DFT.

Geometry as extended XYZ:
```
5
Lattice="2.584 0.000 0.000 -1.292 2.238 0.000 0.000 0.000 6.313" Properties=species:S:1:pos:R:3 pbc="T T T"
Co 0.000 0.000 0.000
Ni 0.000 1.492 4.171
Ni 1.292 0.746 2.142
H 0.000 1.492 1.102
H 1.292 0.746 5.211
```

Summary:
Total DFT energy (no corrections) = -5.07 eV/atom
Volume = 36.5 Å³ per cell
Symmetry = No. 164
E above lowest polymorph = 0 meV/atom


Computed, not measured: a relaxed structure of Co4NiH3 at the PBE level of DFT.

Geometry as extended XYZ:
```
16
Lattice="4.358 -2.247 0.000 4.358 2.247 0.000 -2.432 0.000 6.179" Properties=species:S:1:pos:R:3 pbc="T T T"
Co 0.772 0.754 2.464
Co 3.142 1.511 3.089
Co -0.444 -0.754 5.553
Co 4.701 0.770 1.220
Co 5.521 0.761 3.695
Co 3.486 -0.770 4.309
Co 4.358 -1.511 0.000
Co 6.737 -0.761 0.605
Ni 1.549 0.741 4.931
Ni 2.765 -0.741 1.842
H 0.163 0.001 4.011
H 1.379 -0.001 0.922
H 4.056 0.005 2.774
H 2.840 -0.005 5.863
H 6.195 0.008 2.147
H 4.979 -0.008 5.236
```

Summary:
Total DFT energy (no corrections) = -5.52 eV/atom
Volume = 121.0 Å³ per cell
Symmetry = No. 9


Computed, not measured: a relaxed structure of CoNi2H at the PBE level of DFT.

Geometry as extended XYZ:
```
8
Lattice="-2.805 2.805 2.331 2.805 -2.805 2.331 2.805 2.805 -2.331" Properties=species:S:1:pos:R:3 pbc="T T T"
Co 0.000 0.000 0.000
Co 0.000 2.805 1.166
Ni 1.402 1.983 -0.583
Ni 3.626 1.402 0.583
Ni 1.402 0.821 1.748
Ni -0.821 1.402 2.914
H 2.805 0.000 1.166
H 0.000 0.000 2.331
```

Summary:
Total DFT energy (no corrections) = -5.29 eV/atom
Volume = 73.3 Å³ per cell
Symmetry = No. 122
E above lowest polymorph = 210 meV/atom


Computed, not measured: a relaxed structure of Co2Ni2H at the PBE level of DFT.

Geometry as extended XYZ:
```
10
Lattice="2.443 -4.004 0.000 2.443 4.004 0.000 -1.434 0.000 4.768" Properties=species:S:1:pos:R:3 pbc="T T T"
Co 1.350 2.212 3.520
Co 2.102 2.212 1.247
Co 1.350 -2.212 3.520
Co 2.102 -2.212 1.247
Ni 1.162 0.000 0.314
Ni 0.488 0.000 2.675
Ni 2.964 0.000 2.092
Ni 2.290 0.000 4.454
H 2.443 1.067 0.000
H 2.443 -1.067 0.000
```

Summary:
Total DFT energy (no corrections) = -5.72 eV/atom
Volume = 93.3 Å³ per cell
Symmetry = No. 12


Computed, not measured: a relaxed structure of Co5Ni3H12 at the PBE level of DFT.

Geometry as extended XYZ:
```
80
Lattice="-4.988 4.988 4.988 4.988 -4.988 4.988 4.988 4.988 -4.988" Properties=species:S:1:pos:R:3 pbc="T T T"
Co 0.000 0.000 0.000
Co 2.494 2.494 -2.494
Co 2.494 -2.494 2.494
Co 4.988 0.000 0.000
Co 7.483 1.247 0.000
Co 4.988 -2.494 3.741
Co 3.741 4.988 -2.494
Co 3.741 0.000 2.494
Co 2.494 3.741 0.000
Co 4.988 2.494 1.247
Co -2.494 2.494 2.494
Co 0.000 4.988 0.000
Co 0.000 0.000 4.988
Co 2.494 2.494 2.494
Co 0.000 2.494 3.741
Co 2.494 1.247 4.988
Co 1.247 4.988 2.494
Co 1.247 0.000 7.483
Co 0.000 7.483 1.247
Co -2.494 3.741 4.988
Ni 2.494 1.247 0.000
Ni 4.988 2.494 -1.247
Ni 1.247 0.000 2.494
Ni 6.236 0.000 2.494
Ni 0.000 2.494 1.247
Ni 2.494 -1.247 4.988
Ni 2.494 6.236 0.000
Ni 4.988 2.494 3.741
Ni -1.247 4.988 2.494
Ni 3.741 4.988 2.494
Ni 0.000 2.494 6.236
Ni 2.494 3.741 4.988
H 1.521 -0.130 0.659
H 5.961 3.153 -2.624
H 6.510 0.130 0.659
H 5.961 -1.836 2.624
H 4.858 -0.659 1.521
H 7.613 -0.973 1.836
H 0.659 1.521 -0.130
H 6.824 2.364 -0.973
H 3.153 2.624 -0.973
H 4.330 1.521 0.130
H -0.130 0.659 1.521
H 2.624 -0.973 3.153
H 4.858 4.330 -1.521
H 2.624 0.973 1.836
H 3.153 -2.624 5.961
H 4.330 -1.521 4.858
H 1.836 2.624 0.973
H 5.647 3.467 0.130
H 2.624 5.961 -1.836
H 4.858 0.659 3.467
H 1.521 4.858 -0.659
H 5.961 1.836 2.364
H 0.973 1.836 2.624
H 1.521 0.130 4.330
H 3.467 4.858 0.659
H 4.016 3.153 2.364
H -0.973 3.153 2.624
H 3.467 0.130 5.647
H 0.130 4.330 1.521
H 2.364 -0.973 6.824
H -0.659 1.521 4.858
H 3.153 2.364 4.016
H 0.659 6.510 0.130
H 1.836 7.613 -0.973
H 2.364 4.016 3.153
H 0.130 0.659 6.510
H 2.364 5.961 1.836
H 5.118 4.330 3.467
H 0.659 3.467 4.858
H 1.836 2.364 5.961
H -1.836 2.624 5.961
H 4.330 3.467 5.118
H -2.624 5.961 3.153
H 0.130 5.647 3.467
H -0.973 6.824 2.364
H -1.521 4.858 4.330
H -0.973 1.836 7.613
H 3.467 5.118 4.330
```

Summary:
Total DFT energy (no corrections) = -4.51 eV/atom
Volume = 496.6 Å³ per cell
Symmetry = No. 230


Computed, not measured: a relaxed structure of CoNi2H3 at the PBE level of DFT.

Geometry as extended XYZ:
```
12
Lattice="2.269 -3.932 0.000 2.269 3.932 0.000 -1.502 0.000 4.308" Properties=species:S:1:pos:R:3 pbc="T T T"
Co 2.269 2.621 0.000
Co 2.269 -2.621 0.000
Ni -0.751 0.000 2.154
Ni 1.518 1.311 2.154
Ni 2.269 0.000 0.000
Ni 1.518 -1.311 2.154
H -0.006 1.334 3.245
H 0.729 0.000 1.069
H -0.006 -1.334 3.245
H 3.043 1.334 1.063
H 2.307 0.000 3.239
H 3.043 -1.334 1.063
```

Summary:
Total DFT energy (no corrections) = -4.80 eV/atom
Volume = 76.9 Å³ per cell
Symmetry = No. 12
E above lowest polymorph = 0 meV/atom


Computed, not measured: a relaxed structure of CoNiH2 at the PBE level of DFT.

Geometry as extended XYZ:
```
4
Lattice="1.311 0.757 4.293 -1.311 0.757 4.293 0.000 -1.514 4.293" Properties=species:S:1:pos:R:3 pbc="T T T"
Co 0.000 0.000 0.000
Ni 0.000 0.000 6.440
H 0.000 0.000 3.252
H 0.000 0.000 9.628
```

Summary:
Total DFT energy (no corrections) = -4.90 eV/atom
Volume = 25.6 Å³ per cell
Symmetry = No. 166


Computed, not measured: a relaxed structure of Co3NiH at the PBE level of DFT.

Geometry as extended XYZ:
```
5
Lattice="4.284 0.000 0.000 0.000 4.284 0.000 0.000 0.000 4.284" Properties=species:S:1:pos:R:3 pbc="T T T"
Co 0.000 0.000 2.142
Co 0.000 2.142 0.000
Co 2.142 0.000 0.000
Ni 0.000 0.000 0.000
H 2.142 2.142 2.142
```

Summary:
Total DFT energy (no corrections) = -4.41 eV/atom
Volume = 78.6 Å³ per cell
Symmetry = No. 221
E above lowest polymorph = 1665 meV/atom


Computed, not measured: a relaxed structure of CoNiH3 at the PBE level of DFT.

Geometry as extended XYZ:
```
20
Lattice="4.006 -3.766 0.000 4.006 3.766 0.000 0.000 0.000 4.004" Properties=species:S:1:pos:R:3 pbc="T T T"
Co 4.006 3.039 3.003
Co 4.006 1.033 1.001
Co 4.006 -1.033 3.003
Co 4.006 -3.039 1.001
Ni 2.028 0.940 3.003
Ni 2.028 -0.940 1.001
Ni 5.984 0.940 3.003
Ni 5.984 -0.940 1.001
H 3.036 2.025 2.026
H 3.036 2.025 3.981
H 4.976 2.025 2.026
H 4.976 2.025 3.981
H 3.023 0.000 0.000
H 3.023 0.000 2.002
H 4.989 0.000 0.000
H 4.989 0.000 2.002
H 3.036 -2.025 0.024
H 3.036 -2.025 1.978
H 4.976 -2.025 0.024
H 4.976 -2.025 1.978
```

Summary:
Total DFT energy (no corrections) = -4.52 eV/atom
Volume = 120.8 Å³ per cell
Symmetry = No. 63


Computed, not measured: a relaxed structure of Co3NiH at the PBE level of DFT.

Geometry as extended XYZ:
```
10
Lattice="2.516 0.000 0.000 -0.002 4.397 0.000 -1.247 -0.745 8.215" Properties=species:S:1:pos:R:3 pbc="T T T"
Co 0.000 0.723 1.008
Co 0.002 3.672 3.019
Co 0.004 2.197 5.217
Co 1.262 1.455 2.998
Co 1.263 -0.020 5.197
Co 1.265 2.930 7.207
Ni 0.010 0.729 7.212
Ni 1.256 2.923 1.004
H 0.005 0.745 4.106
H 1.261 2.907 4.110
```

Summary:
Total DFT energy (no corrections) = -6.08 eV/atom
Volume = 90.9 Å³ per cell
Symmetry = No. 2
E above lowest polymorph = 0 meV/atom


Computed, not measured: a relaxed structure of Co2NiH2 at the PBE level of DFT.

Geometry as extended XYZ:
```
10
Lattice="-2.361 3.381 2.402 2.361 -3.381 2.402 2.361 3.381 -2.402" Properties=species:S:1:pos:R:3 pbc="T T T"
Co 0.484 1.204 0.000
Co 2.846 2.176 0.000
Co -0.484 1.204 2.402
Co 1.877 2.176 2.402
Ni 2.361 0.000 1.201
Ni 0.000 3.381 1.201
H 3.574 0.504 0.000
H 1.213 2.877 0.000
H 1.149 0.504 2.402
H -1.213 2.877 2.402
```

Summary:
Total DFT energy (no corrections) = -5.21 eV/atom
Volume = 76.7 Å³ per cell
Symmetry = No. 72
E above lowest polymorph = 0 meV/atom


Computed, not measured: a relaxed structure of CoNi2H at the PBE level of DFT.

Geometry as extended XYZ:
```
4
Lattice="2.449 0.000 0.000 0.000 2.449 0.000 0.000 0.000 5.954" Properties=species:S:1:pos:R:3 pbc="T T T"
Co 0.000 0.000 0.000
Ni 1.224 1.224 1.786
Ni 1.224 1.224 4.168
H 0.000 0.000 2.977
```

Summary:
Total DFT energy (no corrections) = -5.33 eV/atom
Volume = 35.7 Å³ per cell
Symmetry = No. 123
E above lowest polymorph = 170 meV/atom


Computed, not measured: a relaxed structure of Co3NiH at the PBE level of DFT.

Geometry as extended XYZ:
```
10
Lattice="2.520 0.000 0.000 0.000 7.807 0.000 -1.251 0.000 4.662" Properties=species:S:1:pos:R:3 pbc="T T T"
Co 0.002 1.952 0.172
Co 0.009 0.165 3.419
Co 0.009 3.739 3.419
Co 1.260 4.068 1.243
Co 1.260 7.643 1.243
Co 1.267 5.856 4.490
Ni 0.001 5.856 2.318
Ni 1.268 1.952 2.344
H 0.000 0.000 0.000
H 0.000 3.904 0.000
```

Summary:
Total DFT energy (no corrections) = -6.05 eV/atom
Volume = 91.7 Å³ per cell
Symmetry = No. 11
E above lowest polymorph = 27 meV/atom


Computed, not measured: a relaxed structure of CoNi5H4 at the PBE level of DFT.

Geometry as extended XYZ:
```
10
Lattice="5.631 -1.291 0.000 5.631 1.291 0.000 -1.185 0.000 5.033" Properties=species:S:1:pos:R:3 pbc="T T T"
Co 0.000 0.000 0.000
Ni -0.592 0.000 2.517
Ni 2.938 0.000 3.326
Ni 3.552 0.000 0.860
Ni 6.526 0.000 4.173
Ni 7.140 0.000 1.707
H 1.796 0.000 0.442
H 4.731 0.000 3.757
H 5.347 0.000 1.276
H 8.281 0.000 4.591
```

Summary:
Total DFT energy (no corrections) = -4.95 eV/atom
Volume = 73.2 Å³ per cell
Symmetry = No. 12


Computed, not measured: a relaxed structure of CoNi2H2 at the PBE level of DFT.

Geometry as extended XYZ:
```
5
Lattice="-1.319 1.319 5.536 1.319 -1.319 5.536 1.319 1.319 -5.536" Properties=species:S:1:pos:R:3 pbc="T T T"
Co 0.000 0.000 0.000
Ni 0.000 0.000 3.841
Ni 0.000 0.000 7.231
H 1.319 0.000 2.768
H 0.000 1.319 2.768
```

Summary:
Total DFT energy (no corrections) = -4.99 eV/atom
Volume = 38.5 Å³ per cell
Symmetry = No. 139
E above lowest polymorph = 83 meV/atom


Computed, not measured: a relaxed structure of Co2NiH2 at the PBE level of DFT.

Geometry as extended XYZ:
```
5
Lattice="-1.559 1.559 3.855 1.559 -1.559 3.855 1.559 1.559 -3.855" Properties=species:S:1:pos:R:3 pbc="T T T"
Co 0.000 0.000 1.233
Co 0.000 0.000 6.477
Ni 0.000 0.000 3.855
H 1.559 0.000 1.927
H 0.000 1.559 1.927
```

Summary:
Total DFT energy (no corrections) = -5.21 eV/atom
Volume = 37.5 Å³ per cell
Symmetry = No. 139
E above lowest polymorph = 5 meV/atom


Computed, not measured: a relaxed structure of CoNiH2 at the PBE level of DFT.

Geometry as extended XYZ:
```
4
Lattice="1.288 0.744 4.606 -1.288 0.744 4.606 0.000 -1.488 4.606" Properties=species:S:1:pos:R:3 pbc="T T T"
Co 0.000 0.000 0.000
Ni 0.000 0.000 2.440
H 0.000 0.000 8.093
H 0.000 0.000 10.407
```

Summary:
Total DFT energy (no corrections) = -4.81 eV/atom
Volume = 26.5 Å³ per cell
Symmetry = No. 160